{"formula": "MgTlBi2I", "functional": "PBE", "state": "relaxed", "cell": [[6.046, 0.000, 0.000], [0.000, 6.046, 0.000], [0.000, 0.000, 6.180]], "species": ["Mg", "Tl", "Bi", "Bi", "I"], "frac_coords": [[0.000, 0.000, 0.000], [0.500, 0.500, 0.000], [0.000, 0.500, 0.500], [0.500, 0.000, 0.500], [0.500, 0.500, 0.500]], "e_form_raw_ev_per_atom": 0.6578, "total_energy_ev_per_atom": -1.997}

***

{"formula": "MgZn2BiI", "functional": "PBE", "state": "relaxed", "cell": [[5.126, 0.000, 0.000], [0.000, 5.126, 0.000], [0.000, 0.000, 5.914]], "species": ["Mg", "Zn", "Zn", "Bi", "I"], "frac_coords": [[0.000, 0.000, 0.000], [0.000, 0.500, 0.000], [0.500, 0.000, 0.000], [0.500, 0.500, 0.500], [0.000, 0.000, 0.500]], "e_form_raw_ev_per_atom": 0.4370, "total_energy_ev_per_atom": -1.478}

***

{"formula": "MnBiI2", "functional": "PBE", "state": "relaxed", "cell": [[0.000, 3.892, 3.892], [3.892, 0.000, 3.892], [3.892, 3.892, 0.000]], "species": ["Mn", "Bi", "I", "I"], "frac_coords": [[0.000, 0.000, 0.000], [0.500, 0.500, 0.500], [0.250, 0.250, 0.250], [0.750, 0.750, 0.750]], "e_form_raw_ev_per_atom": 0.4822, "total_energy_ev_per_atom": -3.556, "de_polymorph_kj_per_mol_fu": 181}

***

{"formula": "MnBiI5", "functional": "PBE", "state": "relaxed", "cell": [[5.819, -5.741, 0.000], [5.819, 5.741, 0.000], [-5.721, 0.000, 10.101]], "species": ["Mn", "Mn", "Bi", "Bi", "I", "I", "I", "I", "I", "I", "I", "I", "I", "I"], "frac_coords": [[0.125, 0.875, 0.750], [0.875, 0.125, 0.250], [0.000, 0.500, 0.000], [0.500, 0.000, 0.500], [0.166, 0.196, 0.468], [0.181, 0.600, 0.834], [0.196, 0.166, 0.968], [0.345, 0.655, 0.250], [0.400, 0.819, 0.666], [0.600, 0.181, 0.334], [0.655, 0.345, 0.750], [0.804, 0.834, 0.032], [0.819, 0.400, 0.166], [0.834, 0.804, 0.532]], "e_form_raw_ev_per_atom": -0.3897, "total_energy_ev_per_atom": -3.361}

***

{"formula": "MnBiI2", "functional": "PBE", "state": "relaxed", "cell": [[-3.624, 3.624, 5.047], [3.624, -3.624, 5.047], [3.624, 3.624, -5.047]], "species": ["Mn", "Mn", "Bi", "Bi", "I", "I", "I", "I"], "frac_coords": [[0.000, 0.000, 0.000], [0.750, 0.250, 0.500], [0.250, 0.750, 0.500], [0.500, 0.500, 0.000], [0.029, 0.125, 0.404], [0.375, 0.971, 0.096], [0.721, 0.625, 0.596], [0.875, 0.279, 0.904]], "e_form_raw_ev_per_atom": 0.7330, "total_energy_ev_per_atom": -3.305, "de_polymorph_kj_per_mol_fu": 278}

***

{"formula": "Mn2BiI6", "functional": "PBE", "state": "relaxed", "cell": [[7.397, -6.610, 0.000], [7.397, 6.610, 0.000], [-0.631, 0.000, 8.072]], "species": ["Mn", "Mn", "Mn", "Mn", "Bi", "Bi", "I", "I", "I", "I", "I", "I", "I", "I", "I", "I", "I", "I"], "frac_coords": [[0.118, 0.261, 0.306], [0.261, 0.118, 0.806], [0.739, 0.882, 0.194], [0.882, 0.739, 0.694], [0.393, 0.607, 0.750], [0.607, 0.393, 0.250], [0.041, 0.209, 0.611], [0.105, 0.624, 0.867], [0.209, 0.041, 0.111], [0.293, 0.450, 0.335], [0.376, 0.895, 0.633], [0.450, 0.293, 0.835], [0.550, 0.707, 0.165], [0.624, 0.105, 0.367], [0.707, 0.550, 0.665], [0.791, 0.959, 0.889], [0.895, 0.376, 0.133], [0.959, 0.791, 0.389]], "e_form_raw_ev_per_atom": -0.3238, "total_energy_ev_per_atom": -3.826}